Run 1
! Na3Cu2As4 | Alexandria | PBE | relaxed; values from VASP
! - DOS(E_F): 2.7 states/eV/cell
! - SG: P-1 (2)
&SYSTEM
  ibrav = 0, nat = 9, ntyp = 3
/
ATOMIC_SPECIES
Na 22.99 Na.upf
As 74.92 As.upf
Cu 63.55 Cu.upf
CELL_PARAMETERS angstrom
-2.124 1.592 3.177
-0.398 -3.906 4.388
6.757 1.905 3.558
ATOMIC_POSITIONS crystal
Na 0.600 0.802 0.713
Na 0.000 0.000 0.000
Na 0.400 0.198 0.287
As 0.911 0.180 0.591
As 0.705 0.590 0.076
As 0.089 0.820 0.409
As 0.295 0.410 0.924
Cu 0.714 0.569 0.396
Cu 0.286 0.431 0.604



Run 2
! Na3Cu2As4 | Alexandria | PBE | relaxed; values from VASP
! - DOS(E_F): 3.2 states/eV/cell
! - SG: C2/m (12)
&SYSTEM
  ibrav = 0, nat = 9, ntyp = 3
/
ATOMIC_SPECIES
As 74.92 As.upf
Cu 63.55 Cu.upf
Na 22.99 Na.upf
CELL_PARAMETERS angstrom
4.484 0.000 0.000
0.000 5.713 0.974
-2.242 -1.808 7.019
ATOMIC_POSITIONS crystal
As 0.499 0.710 0.998
As 0.781 0.874 0.563
As 0.219 0.126 0.437
As 0.501 0.290 0.002
Cu 0.636 0.059 0.273
Cu 0.364 0.941 0.727
Na 0.143 0.590 0.287
Na 0.857 0.410 0.713
Na 0.000 0.000 0.000



If we sort the structures by their calculated energies, the order from most to least stable is run 1, run 2.